1.
Ca2MgTl PBEsol relaxed; space group = Imm2 (44)
1.0
-3.398 1.115 0.978
-0.461 -4.361 3.368
4.171 4.694 2.111
Mg Ca Tl
1 2 1
Cartesian
-1.793 -1.435 2.435
0.184 1.274 6.213
-0.518 2.176 2.746
0.820 -0.740 3.693

---

2.
CaMgTl PBEsol relaxed; space group = P-6m2 (187)
1.0
-1.695 -3.144 0.793
2.516 -0.263 4.332
-4.432 2.342 -0.188
Mg Ca Tl
1 1 1
Cartesian
-2.116 1.474 1.319
-0.847 -1.572 0.397
0.200 0.605 2.825

---

3.
CaMgTl2 PBEsol relaxed; space group = P4mm (99)
1.0
-2.376 1.104 -3.041
0.485 -3.609 -1.689
-5.380 -2.300 3.369
Ca Mg Tl
1 1 2
Cartesian
-2.627 -1.123 1.645
-5.171 -3.059 0.280
-5.284 -2.259 3.308
-2.260 -1.815 -1.542

---

Formation energy from the elements readings, ordered: -0.25, -0.32, -0.19 eV per atom
V readings, ordered: 29.357, 26.578, 27.204 Å³ per atom